{
  "formula": "Ca2InN",
  "functional": "PBE",
  "state": "relaxed",
  "lattice": [[10.3739, -0.0063, 0.0000], [-9.7766, 3.4692, 0.0000], [0.0000, 0.0000, 4.9909]],
  "species": ["N", "N", "Ca", "Ca", "Ca", "Ca", "In", "In"],
  "frac_coords": [[0.1996, 0.8004, 0.2500], [0.8004, 0.1996, 0.7500], [0.6221, 0.3779, 0.2500], [0.2188, 0.7812, 0.7500], [0.7812, 0.2188, 0.2500], [0.3779, 0.6221, 0.7500], [0.0406, 0.9594, 0.7500], [0.9594, 0.0406, 0.2500]],
  "sg": "No. 63",
  "n_ef_per_ev_fu": 0.8,
  "mass_density_g_cm3": 3.9,
  "polymorph_energy_mev_per_atom": 0
}

***

{
  "formula": "YCoTc2",
  "functional": "PBE",
  "state": "relaxed",
  "lattice": [[5.2878, 0.0004, 0.0000], [2.5568, 4.6285, 0.0000], [-3.9223, -2.3145, 2.6869]],
  "species": ["Tc", "Tc", "Y", "Co"],
  "frac_coords": [[0.0000, 0.0000, 0.0000], [0.5000, 0.5000, 0.0000], [0.2500, 0.7500, 0.5000], [0.7500, 0.2500, 0.5000]],
  "ef_ev_per_fu": 1.54,
  "sg": "No. 139",
  "n_ef_per_ev_fu": 5.5,
  "mass_density_g_cm3": 8.7,
  "polymorph_energy_mev_per_atom": 278
}

***

{
  "formula": "TbSm3Tc",
  "functional": "PBE",
  "state": "relaxed",
  "lattice": [[5.4606, 0.0000, 0.0000], [0.0000, 5.4606, 0.0000], [0.0000, 0.0000, 5.4606]],
  "species": ["Sm", "Sm", "Sm", "Tb", "Tc"],
  "frac_coords": [[0.0000, 0.5000, 0.0000], [0.0000, 0.0000, 0.5000], [0.5000, 0.0000, 0.0000], [0.5000, 0.5000, 0.5000], [0.0000, 0.0000, 0.0000]],
  "ef_ev_per_fu": 0.99,
  "sg": "No. 221",
  "n_ef_per_ev_fu": 8.1,
  "mass_density_g_cm3": 7.2,
  "polymorph_energy_mev_per_atom": 205
}

***

{
  "formula": "Np4Zn3Ga16",
  "functional": "PBE",
  "state": "relaxed",
  "lattice": [[6.2926, 0.0000, 0.0000], [0.0000, 6.2926, 0.0000], [0.0000, 0.0000, 11.0273]],
  "species": ["Ga", "Ga", "Ga", "Ga", "Ga", "Ga", "Ga", "Ga", "Ga", "Ga", "Ga", "Ga", "Ga", "Ga", "Ga", "Ga", "Zn", "Zn", "Zn", "Np", "Np", "Np", "Np"],
  "frac_coords": [[0.2585, 0.2585, 0.6264], [0.5000, 0.5000, 0.8021], [0.5000, 0.5000, 0.1979], [0.2585, 0.7415, 0.6264], [0.2585, 0.7415, 0.3736], [0.7118, 0.7118, 0.0000], [0.2882, 0.2882, 0.0000], [0.2882, 0.7118, 0.0000], [0.7415, 0.2585, 0.3736], [0.7118, 0.2882, 0.0000], [0.0000, 0.0000, 0.7653], [0.7415, 0.7415, 0.6264], [0.7415, 0.7415, 0.3736], [0.2585, 0.2585, 0.3736], [0.0000, 0.0000, 0.2347], [0.7415, 0.2585, 0.6264], [0.0000, 0.5000, 0.5000], [0.0000, 0.0000, 0.0000], [0.5000, 0.0000, 0.5000], [0.0000, 0.5000, 0.1883], [0.5000, 0.0000, 0.1883], [0.0000, 0.5000, 0.8117], [0.5000, 0.0000, 0.8117]],
  "ef_ev_per_fu": -2.82,
  "sg": "No. 123",
  "n_ef_per_ev_fu": 36.6,
  "mass_density_g_cm3": 8.6
}

***

{
  "formula": "AcAlTlAg",
  "functional": "PBE",
  "state": "relaxed",
  "lattice": [[-3.1133, -1.3302, -4.0948], [-3.2076, -4.2201, 0.3626], [-5.2590, 0.6809, 0.3302]],
  "species": ["Al", "Tl", "Ac", "Ag"],
  "frac_coords": [[0.7500, 0.7500, 0.7500], [0.5000, 0.5000, 0.5000], [0.2500, 0.2500, 0.2500], [0.0000, 0.0000, 0.0000]],
  "ef_ev_per_fu": -0.53,
  "sg": "No. 216",
  "n_ef_per_ev_fu": 2.0,
  "mass_density_g_cm3": 8.9
}

***

{
  "formula": "Dy3Er6Zr",
  "functional": "PBE",
  "state": "relaxed",
  "lattice": [[6.0718, 0.0000, 0.0000], [0.0000, 10.6737, -1.5790], [0.0000, -3.9210, 10.0522]],
  "species": ["Er", "Er", "Er", "Er", "Er", "Er", "Er", "Er", "Er", "Er", "Er", "Er", "Zr", "Zr", "Dy", "Dy", "Dy", "Dy", "Dy", "Dy"],
  "frac_coords": [[0.4196, 0.9484, 0.0516], [0.3766, 0.5409, 0.9569], [0.8766, 0.4591, 0.0431], [0.3766, 0.0431, 0.4591], [0.6462, 0.2749, 0.7251], [0.1462, 0.7251, 0.2749], [0.9196, 0.0516, 0.9484], [0.5336, 0.2937, 0.3814], [0.8766, 0.9569, 0.5409], [0.5336, 0.6186, 0.7063], [0.0336, 0.7063, 0.6186], [0.0336, 0.3814, 0.2937], [0.6502, 0.7903, 0.2097], [0.1502, 0.2097, 0.7903], [0.5643, 0.6136, 0.3864], [0.9424, 0.7184, 0.9440], [0.0643, 0.3864, 0.6136], [0.4424, 0.2816, 0.0560], [0.4424, 0.9440, 0.7184], [0.9424, 0.0560, 0.2816]],
  "ef_ev_per_fu": 1.50,
  "sg": "No. 36",
  "n_ef_per_ev_fu": 13.8,
  "mass_density_g_cm3": 8.6,
  "polymorph_energy_mev_per_atom": 0
}

***

{
  "formula": "Pm7PrZn4",
  "functional": "PBE",
  "state": "relaxed",
  "lattice": [[-1.3398, -5.5408, -0.2444], [7.6066, -4.7589, -0.4127], [0.8676, -3.4469, 6.7865]],
  "species": ["Pm", "Pm", "Pm", "Pm", "Pm", "Pm", "Pm", "Zn", "Zn", "Zn", "Zn", "Pr"],
  "frac_coords": [[0.7947, 0.8788, 0.5318], [0.9307, 0.4032, 0.7355], [0.0693, 0.5968, 0.2645], [0.2795, 0.6692, 0.7718], [0.7205, 0.3308, 0.2282], [0.5000, 0.0000, 0.0000], [0.2053, 0.1212, 0.4682], [0.3207, 0.3386, 0.0201], [0.5400, 0.2668, 0.6532], [0.4600, 0.7332, 0.3468], [0.6793, 0.6614, 0.9799], [0.0000, 0.0000, 0.0000]],
  "ef_ev_per_fu": -0.17,
  "sg": "No. 12",
  "n_ef_per_ev_fu": 14.1,
  "mass_density_g_cm3": 7.0
}

***

{
  "formula": "BaHg2Pb",
  "functional": "PBE",
  "state": "relaxed",
  "lattice": [[-2.0061, 3.1885, -1.4844], [-1.9230, -2.4326, -2.6264], [-7.5730, -3.5714, 2.5632]],
  "species": ["Hg", "Hg", "Pb", "Ba"],
  "frac_coords": [[0.0000, 0.5218, 0.4786], [0.0000, 0.9782, 0.0214], [0.5000, 0.2500, 0.2500], [0.5000, 0.7500, 0.7500]],
  "ef_ev_per_fu": -1.39,
  "sg": "No. 47",
  "n_ef_per_ev_fu": 1.5,
  "mass_density_g_cm3": 9.7,
  "polymorph_energy_mev_per_atom": 81
}

***

{
  "formula": "CuTc2Ir",
  "functional": "PBE",
  "state": "relaxed",
  "lattice": [[8.9550, -0.0220, -0.0129], [8.5472, 2.6718, -0.0129], [8.5472, 1.2940, 2.3376]],
  "species": ["Cu", "Ir", "Tc", "Tc"],
  "frac_coords": [[0.2500, 0.2500, 0.2500], [0.7500, 0.7500, 0.7500], [0.4999, 0.4999, 0.4999], [0.0001, 0.0001, 0.0001]],
  "ef_ev_per_fu": 0.48,
  "sg": "No. 166",
  "n_ef_per_ev_fu": 4.0,
  "mass_density_g_cm3": 13.2,
  "polymorph_energy_mev_per_atom": 78
}

***

{
  "formula": "ThNpPa2N6",
  "functional": "PBE",
  "state": "relaxed",
  "lattice": [[-0.7106, -5.0186, 3.3151], [4.8495, -3.1353, 1.8257], [1.5709, -0.0191, 5.8404]],
  "species": ["Np", "N", "N", "N", "N", "N", "N", "Pa", "Pa", "Th"],
  "frac_coords": [[0.3014, 0.3014, 0.0958], [0.6340, 0.2177, 0.2354], [0.9129, 0.6340, 0.2354], [0.2177, 0.9129, 0.2354], [0.3941, 0.7099, 0.7435], [0.7099, 0.1525, 0.7435], [0.1525, 0.3941, 0.7436], [0.5246, 0.5246, 0.4261], [0.0225, 0.0225, 0.9325], [0.7920, 0.7920, 0.6239]],
  "e_tot_ev_per_atom": -10.366,
  "sg": "No. 146",
  "n_ef_per_ev_fu": 10.2,
  "mass_density_g_cm3": 10.8
}

***

{
  "formula": "LiTb2NpN4",
  "functional": "PBE",
  "state": "relaxed",
  "lattice": [[-1.9443, 3.3349, -2.7038], [0.7387, -2.6648, -3.8165], [-3.9342, -2.4787, 3.8787]],
  "species": ["N", "N", "N", "N", "Tb", "Tb", "Li", "Np"],
  "frac_coords": [[0.1466, 0.1466, 0.4189], [0.7277, 0.7277, 0.5811], [0.9374, 0.4373, 0.0000], [0.4373, 0.9374, 0.0000], [0.6871, 0.1871, 0.5000], [0.1871, 0.6871, 0.5000], [0.4369, 0.4369, 0.0000], [0.9372, 0.9372, 0.0000]],
  "e_tot_ev_per_atom": -8.481,
  "sg": "No. 139",
  "n_ef_per_ev_fu": 3.8,
  "mass_density_g_cm3": 9.1
}

***

{
  "formula": "Nb6VPd",
  "functional": "PBE",
  "state": "relaxed",
  "lattice": [[-1.2676, -4.3487, -0.9792], [4.4565, -1.2583, -0.1812], [1.4605, -4.1883, 5.7432]],
  "species": ["Nb", "Nb", "Nb", "Nb", "Nb", "Nb", "V", "Pd"],
  "frac_coords": [[0.6234, 0.1234, 0.7533], [0.3766, 0.8766, 0.2467], [0.8766, 0.3766, 0.2467], [0.2554, 0.2555, 0.4891], [0.1234, 0.6234, 0.7533], [0.7446, 0.7445, 0.5109], [0.5000, 0.5000, 0.0000], [0.0000, 0.0000, 0.0000]],
  "ef_ev_per_fu": -0.42,
  "sg": "No. 139",
  "n_ef_per_ev_fu": 7.6,
  "mass_density_g_cm3": 8.5
}

***

{
  "formula": "ZnNiBr",
  "functional": "PBE",
  "state": "relaxed",
  "lattice": [[5.4733, 0.0012, -0.0119], [3.2636, 4.3912, 0.0142], [-4.3620, -2.2076, 2.4562]],
  "species": ["Ni", "Zn", "Br"],
  "frac_coords": [[0.2567, 0.2570, 0.9997], [0.7240, 0.7243, 0.9997], [0.0194, 0.0187, 0.0006]],
  "sg": "No. 107",
  "n_ef_per_ev_fu": 1.9,
  "mass_density_g_cm3": 5.7,
  "polymorph_energy_mev_per_atom": 449
}

***

{
  "formula": "Li12Mg2Zn5",
  "functional": "PBE",
  "state": "relaxed",
  "lattice": [[-4.3846, -0.0566, 2.1005], [-0.1902, -7.9677, -0.6118], [3.9177, 3.3223, 7.7333]],
  "species": ["Li", "Li", "Li", "Li", "Li", "Li", "Li", "Li", "Li", "Li", "Li", "Li", "Zn", "Zn", "Zn", "Zn", "Zn", "Mg", "Mg"],
  "frac_coords": [[0.8130, 0.6070, 0.5705], [0.1870, 0.0365, 0.4295], [0.5582, 0.4203, 0.8406], [0.3825, 0.6761, 0.7448], [0.8130, 0.9635, 0.5705], [0.1870, 0.3930, 0.4295], [0.3825, 0.0687, 0.7448], [0.4418, 0.5797, 0.1594], [0.6175, 0.9313, 0.2552], [0.0536, 0.0816, 0.1633], [0.6175, 0.3239, 0.2552], [0.9464, 0.9184, 0.8367], [0.3711, 0.7378, 0.4755], [0.5000, 0.0000, 0.0000], [0.0663, 0.3521, 0.7041], [0.6289, 0.2622, 0.5245], [0.9337, 0.6479, 0.2959], [0.0000, 0.3084, 0.0000], [0.0000, 0.6916, 0.0000]],
  "ef_ev_per_fu": -0.99,
  "sg": "No. 12",
  "n_ef_per_ev_fu": 3.5,
  "mass_density_g_cm3": 2.3
}

***

{
  "formula": "AlGaO3",
  "functional": "PBE",
  "state": "relaxed",
  "lattice": [[4.9961, 0.0000, 0.0000], [0.0000, 8.6242, 0.0000], [0.0000, 0.0000, 9.1627]],
  "species": ["O", "O", "O", "O", "O", "O", "O", "O", "O", "O", "O", "O", "O", "O", "O", "O", "O", "O", "O", "O", "O", "O", "O", "O", "Al", "Al", "Al", "Al", "Al", "Al", "Al", "Al", "Ga", "Ga", "Ga", "Ga", "Ga", "Ga", "Ga", "Ga"],
  "frac_coords": [[0.0396, 0.0117, 0.4326], [0.3303, 0.6539, 0.6976], [0.0294, 0.3358, 0.9330], [0.1697, 0.1539, 0.1976], [0.9706, 0.6642, 0.4330], [0.6508, 0.9919, 0.2027], [0.5294, 0.1642, 0.9330], [0.3492, 0.0081, 0.7027], [0.9819, 0.3192, 0.4346], [0.6697, 0.3461, 0.1976], [0.4604, 0.5117, 0.9326], [0.4819, 0.1808, 0.4346], [0.8508, 0.1695, 0.6702], [0.3508, 0.3305, 0.6702], [0.1508, 0.5081, 0.2027], [0.5396, 0.4883, 0.4326], [0.6492, 0.6695, 0.1702], [0.1492, 0.8305, 0.1702], [0.0181, 0.6808, 0.9346], [0.9604, 0.9883, 0.9326], [0.8492, 0.4919, 0.7027], [0.4706, 0.8358, 0.4330], [0.5181, 0.8192, 0.9346], [0.8303, 0.8461, 0.6976], [0.3116, 0.6577, 0.0838], [0.6884, 0.3423, 0.5838], [0.8212, 0.5354, 0.2905], [0.1884, 0.1577, 0.5838], [0.6788, 0.0354, 0.7905], [0.1788, 0.4646, 0.7905], [0.8116, 0.8423, 0.0838], [0.3212, 0.9646, 0.2905], [0.3194, 0.6496, 0.4926], [0.3148, 0.3426, 0.3068], [0.1806, 0.1496, 0.9926], [0.8148, 0.1574, 0.3068], [0.1852, 0.8426, 0.8068], [0.6852, 0.6574, 0.8068], [0.6806, 0.3504, 0.9926], [0.8194, 0.8504, 0.4926]],
  "e_tot_ev_per_atom": -6.729,
  "sg": "No. 33",
  "n_ef_per_ev_fu": 0.0,
  "mass_density_g_cm3": 4.9
}

***

{
  "formula": "TbSi2Pt5Au",
  "functional": "PBE",
  "state": "relaxed",
  "lattice": [[-0.8391, -3.9212, -0.2848], [0.7127, -0.4381, 3.9321], [-10.6122, 2.1141, 2.1590]],
  "species": ["Pt", "Pt", "Pt", "Pt", "Pt", "Si", "Si", "Au", "Tb"],
  "frac_coords": [[0.0000, 0.5000, 0.8226], [0.5000, 0.0000, 0.8226], [0.0000, 0.5000, 0.1774], [0.5000, 0.5000, 0.5000], [0.5000, 0.0000, 0.1774], [0.5000, 0.5000, 0.2876], [0.5000, 0.5000, 0.7124], [0.0000, 0.0000, 0.0000], [0.0000, 0.0000, 0.5000]],
  "e_tot_ev_per_atom": -6.011,
  "sg": "No. 123",
  "n_ef_per_ev_fu": 3.2,
  "mass_density_g_cm3": 12.9
}

***

{
  "formula": "BaReSb2",
  "functional": "PBE",
  "state": "relaxed",
  "lattice": [[8.7671, 0.0096, -0.0030], [7.2614, 4.9127, 0.0030], [-7.9502, -2.6695, 2.5553]],
  "species": ["Re", "Sb", "Sb", "Ba"],
  "frac_coords": [[0.2037, 0.7037, 0.5000], [0.0820, 0.0820, 0.0000], [0.7718, 0.2718, 0.5000], [0.4426, 0.4426, 0.0000]],
  "sg": "No. 44",
  "n_ef_per_ev_fu": 3.9,
  "mass_density_g_cm3": 8.6,
  "polymorph_energy_mev_per_atom": 179
}

***

{
  "formula": "TbCeDyAg",
  "functional": "PBE",
  "state": "relaxed",
  "lattice": [[5.3068, 0.0000, 0.0000], [2.6534, 4.5959, 0.0000], [2.6534, 1.5320, 4.3330]],
  "species": ["Ag", "Ce", "Dy", "Tb"],
  "frac_coords": [[0.2500, 0.2500, 0.2500], [0.7500, 0.7500, 0.7500], [0.5000, 0.5000, 0.5000], [0.0000, 0.0000, 0.0000]],
  "ef_ev_per_fu": 0.52,
  "sg": "No. 216",
  "n_ef_per_ev_fu": 8.2,
  "mass_density_g_cm3": 8.9
}